## LaEr2Sn (PBE)

Data for a geometry-optimized LaEr2Sn structure.

Unit cell a=4.6938 b=4.7829 c=11.5048 alpha=90.00 beta=101.72 gamma=90.00
With the nearest neighbours (Å) after each atom.
Space group P2_1/m (No. 11)
Inequivalent atoms, fractional coordinates:
La 0.1925 0.2500 0.3862 [2 per cell]  5 Sn 3.34-3.44
Er 0.0553 0.7500 0.1109 [2 per cell]  2 Sn 3.30, 8 Er 3.35-3.55
Er 0.4377 0.7500 0.8748 [2 per cell]  2 Sn 3.23, 6 Er 3.35-3.55
Sn 0.3421 0.2500 0.6826 [2 per cell]  4 Er 3.23-3.30, 5 La 3.34-3.44

Properties
Its calculated volume is 126 Å³/f.u. For the formation energy, the calculation gives -0.44 eV per atom. The magnetic moment is 0.54 μB/f.u.